! Ba2ZrGaO6 (GGA-PBE, optimized geometry); values from VASP
! Formation energy without anion corrections   -2565.7 meV per atom
&SYSTEM
  ibrav = 0, nat = 10, ntyp = 4
/
ATOMIC_SPECIES
Ba 137.33 Ba.upf
Zr 91.22 Zr.upf
Ga 69.72 Ga.upf
O 16.00 O.upf
CELL_PARAMETERS angstrom
0.0000 4.1548 4.1548
4.1548 0.0000 4.1548
4.1548 4.1548 0.0000
ATOMIC_POSITIONS crystal
Ba 0.2500 0.2500 0.2500
Ba 0.7500 0.7500 0.7500
Zr 0.0000 0.0000 0.0000
Ga 0.5000 0.5000 0.5000
O 0.2553 0.2553 0.7447
O 0.2553 0.7447 0.2553
O 0.2553 0.7447 0.7447
O 0.7447 0.2553 0.2553
O 0.7447 0.2553 0.7447
O 0.7447 0.7447 0.2553


! TbTiC (GGA-PBE, optimized geometry); values from VASP
! Energy of formation from the pure elements   -0.187 eV per atom
! Energy above the lowest structure with this stoichiometry   78 meV/atom
&SYSTEM
  ibrav = 0, nat = 6, ntyp = 3
/
ATOMIC_SPECIES
Tb 158.93 Tb.upf
Ti 47.87 Ti.upf
C 12.01 C.upf
CELL_PARAMETERS angstrom
2.4814 -2.4813 0.0000
2.4814 2.4813 0.0000
-0.0093 0.0000 8.4997
ATOMIC_POSITIONS crystal
Tb 0.2491 0.2491 0.1940
Tb 0.7509 0.7509 0.8060
Ti 0.2500 0.7500 0.5000
Ti 0.7500 0.2500 0.5000
C 0.2502 0.2502 0.6691
C 0.7498 0.7498 0.3309


! RbNaTlAu (GGA-PBE, optimized geometry); values from VASP
! Energy of formation from the pure elements   -0.047 eV per atom
! Energy above the lowest structure with this stoichiometry   135 meV/atom
&SYSTEM
  ibrav = 0, nat = 4, ntyp = 4
/
ATOMIC_SPECIES
Rb 85.47 Rb.upf
Na 22.99 Na.upf
Tl 204.38 Tl.upf
Au 196.97 Au.upf
CELL_PARAMETERS angstrom
0.0000 3.9471 3.9471
3.9471 0.0000 3.9471
3.9471 3.9471 0.0000
ATOMIC_POSITIONS crystal
Rb 0.0000 0.0000 0.0000
Na 0.2500 0.2500 0.2500
Tl 0.5000 0.5000 0.5000
Au 0.7500 0.7500 0.7500


! MnAl2Fe (GGA-PBE, optimized geometry); values from VASP
! Energy of formation from the pure elements   -0.236 eV per atom
&SYSTEM
  ibrav = 0, nat = 4, ntyp = 3
/
ATOMIC_SPECIES
Mn 54.94 Mn.upf
Al 26.98 Al.upf
Fe 55.84 Fe.upf
CELL_PARAMETERS angstrom
-1.8163 1.8163 3.9851
1.8163 -1.8163 3.9851
1.8163 1.8163 -3.9851
ATOMIC_POSITIONS crystal
Mn 0.0000 0.0000 0.0000
Al 0.2500 0.7500 0.5000
Al 0.5000 0.5000 0.0000
Fe 0.7500 0.2500 0.5000


! NdEr4Tm8 (GGA-PBE, optimized geometry); values from VASP
! Energy of formation from the pure elements   0.214 eV per atom
&SYSTEM
  ibrav = 0, nat = 13, ntyp = 3
/
ATOMIC_SPECIES
Nd 144.24 Nd.upf
Er 167.26 Er.upf
Tm 168.93 Tm.upf
CELL_PARAMETERS angstrom
3.6033 2.0804 8.9014
-3.6033 2.0804 8.9014
0.0000 -4.1608 8.9014
ATOMIC_POSITIONS crystal
Nd 0.0000 0.0000 0.0000
Er 0.0000 0.0000 0.5000
Er 0.0000 0.5000 0.0000
Er 0.5000 0.0000 0.0000
Er 0.5000 0.5000 0.5000
Tm 0.2507 0.2507 0.6934
Tm 0.2507 0.6934 0.2507
Tm 0.2816 0.2816 0.2816
Tm 0.3066 0.7493 0.7493
Tm 0.6934 0.2507 0.2507
Tm 0.7184 0.7184 0.7184
Tm 0.7493 0.3066 0.7493
Tm 0.7493 0.7493 0.3066


! Ba3Pu5N12 (GGA-PBE, optimized geometry); values from VASP
! Formation energy without anion corrections   -559.3 meV per atom
&SYSTEM
  ibrav = 0, nat = 80, ntyp = 3
/
ATOMIC_SPECIES
Ba 137.33 Ba.upf
Pu 244.00 Pu.upf
N 14.01 N.upf
CELL_PARAMETERS angstrom
-7.0835 7.0835 7.0835
7.0835 -7.0835 7.0835
7.0835 7.0835 -7.0835
ATOMIC_POSITIONS crystal
Ba 0.1250 0.2500 0.3750
Ba 0.1250 0.3750 0.7500
Ba 0.2500 0.3750 0.1250
Ba 0.2500 0.8750 0.6250
Ba 0.3750 0.1250 0.2500
Ba 0.3750 0.7500 0.1250
Ba 0.6250 0.2500 0.8750
Ba 0.6250 0.8750 0.7500
Ba 0.7500 0.1250 0.3750
Ba 0.7500 0.6250 0.8750
Ba 0.8750 0.6250 0.2500
Ba 0.8750 0.7500 0.6250
Pu 0.0000 0.0000 0.0000
Pu 0.0000 0.0000 0.5000
Pu 0.0000 0.5000 0.0000
Pu 0.0000 0.5000 0.5000
Pu 0.1250 0.7500 0.8750
Pu 0.1250 0.8750 0.2500
Pu 0.2500 0.1250 0.8750
Pu 0.2500 0.6250 0.3750
Pu 0.3750 0.2500 0.6250
Pu 0.3750 0.6250 0.7500
Pu 0.5000 0.0000 0.0000
Pu 0.5000 0.0000 0.5000
Pu 0.5000 0.5000 0.0000
Pu 0.5000 0.5000 0.5000
Pu 0.6250 0.3750 0.2500
Pu 0.6250 0.7500 0.3750
Pu 0.7500 0.3750 0.6250
Pu 0.7500 0.8750 0.1250
Pu 0.8750 0.1250 0.7500
Pu 0.8750 0.2500 0.1250
N 0.0092 0.1811 0.1094
N 0.0092 0.3281 0.8998
N 0.0717 0.6811 0.6719
N 0.0717 0.8906 0.3998
N 0.1002 0.6095 0.4283
N 0.1002 0.9908 0.6719
N 0.1094 0.0092 0.1811
N 0.1094 0.6002 0.9283
N 0.1719 0.1811 0.5717
N 0.1719 0.4908 0.6002
N 0.1811 0.1094 0.0092
N 0.1811 0.5717 0.1719
N 0.3189 0.3281 0.9283
N 0.3189 0.4908 0.3906
N 0.3281 0.8998 0.0092
N 0.3281 0.9283 0.3189
N 0.3906 0.3189 0.4908
N 0.3906 0.5717 0.8998
N 0.3998 0.0717 0.8906
N 0.3998 0.8281 0.5092
N 0.4283 0.1002 0.6095
N 0.4283 0.8281 0.8189
N 0.4908 0.3906 0.3189
N 0.4908 0.6002 0.1719
N 0.5092 0.3998 0.8281
N 0.5092 0.6095 0.6811
N 0.5717 0.1719 0.1811
N 0.5717 0.8998 0.3906
N 0.6002 0.1719 0.4908
N 0.6002 0.9283 0.1094
N 0.6095 0.4283 0.1002
N 0.6095 0.6811 0.5092
N 0.6719 0.0717 0.6811
N 0.6719 0.1002 0.9908
N 0.6811 0.5092 0.6095
N 0.6811 0.6719 0.0717
N 0.8189 0.4283 0.8281
N 0.8189 0.8906 0.9908
N 0.8281 0.5092 0.3998
N 0.8281 0.8189 0.4283
N 0.8906 0.3998 0.0717
N 0.8906 0.9908 0.8189
N 0.8998 0.0092 0.3281
N 0.8998 0.3906 0.5717
N 0.9283 0.1094 0.6002
N 0.9283 0.3189 0.3281
N 0.9908 0.6719 0.1002
N 0.9908 0.8189 0.8906